[1]
The following is a PBE calculation of an optimized crystal structure of K2LaRu, from the Alexandria database.

Calculated values
* formation enthalpy at 0 K: 0.928 eV per atom
* space-group type: Cmmm (65)
* excess energy over the best structure of this formula in the dataset: 16.21 kcal/mol of atoms

a = 7.003 Å, b = 7.003 Å, c = 3.641 Å
α = 90.00°, β = 90.00°, γ = 132.91°
Fractional coordinates of all 4 atoms:
K: 0.000 0.500 0.000
K: 0.500 0.000 0.000
La: 0.000 0.000 0.500
Ru: 0.500 0.500 0.500

[2]
The following is a PBE calculation of an optimized crystal structure of Pr7TlPb4, from the Alexandria database.

Calculated values
* formation enthalpy at 0 K: -0.313 eV per atom
* space-group type: C2/m (12)

a = 8.555 Å, b = 8.555 Å, c = 10.027 Å
α = 121.49°, β = 121.49°, γ = 41.61°
Fractional coordinates of all 12 atoms:
Pr: 0.000 0.000 0.000
Pr: 0.186 0.186 0.578
Pr: 0.317 0.317 0.060
Pr: 0.451 0.451 0.641
Pr: 0.549 0.549 0.359
Pr: 0.683 0.683 0.940
Pr: 0.814 0.814 0.422
Tl: 0.500 0.500 0.000
Pb: 0.069 0.069 0.756
Pb: 0.233 0.233 0.295
Pb: 0.767 0.767 0.705
Pb: 0.931 0.931 0.244

[3]
The following is a PBE calculation of an optimized crystal structure of Pr2Nd5Dy12, from the Alexandria database.

Calculated values
* formation enthalpy at 0 K: 0.094 eV per atom
* space-group type: P-1 (2)
* excess energy over the best structure of this formula in the dataset: 0.00 kcal/mol of atoms

a = 6.849 Å, b = 6.866 Å, c = 15.129 Å
α = 87.63°, β = 80.15°, γ = 64.68°
Fractional coordinates of all 19 atoms:
Pr: 0.238 0.009 0.032
Pr: 0.762 0.991 0.968
Nd: 0.075 0.555 0.384
Nd: 0.265 0.502 0.965
Nd: 0.500 0.500 0.500
Nd: 0.735 0.498 0.035
Nd: 0.925 0.445 0.616
Dy: 0.066 0.235 0.824
Dy: 0.111 0.068 0.420
Dy: 0.119 0.721 0.755
Dy: 0.381 0.983 0.614
Dy: 0.415 0.755 0.245
Dy: 0.417 0.259 0.187
Dy: 0.583 0.741 0.813
Dy: 0.585 0.245 0.755
Dy: 0.619 0.017 0.386
Dy: 0.881 0.279 0.245
Dy: 0.889 0.932 0.580
Dy: 0.934 0.765 0.176

| no. | electronic total energy (eV per atom) | M_tot (μB/f.u.) | calculated volume (Å³ per atom) |
| --- | --- | --- | --- |
| 1 | -3.171 | 1.39 | 32.7 |
| 2 | -4.534 | 0.00 | 33.7 |
| 3 | -4.570 | 0.00 | 33.3 |